The following is a DFT calculation (PBEsol) of a relaxed structure of RbTl3C.

Values from the calculation:
- Density: 4.56 g/cm3
- DFT formation energy: 2191 meV/atom
- Excess energy over the best structure of this formula in the dataset: 1311 meV per atom

a b c (Å): 6.374 6.374 6.374
angles (deg): 90.00 90.00 90.00
Space group Pm-3m (No. 221)
Asymmetric unit:
Rb 0.000 0.000 0.000 [1 per cell]
Tl 0.000 0.000 0.500 [3 per cell]
C 0.500 0.500 0.500 [1 per cell]

=====

The following is a DFT calculation (PBEsol) of a relaxed structure of MoSe2Br.

Values from the calculation:
- Density: 6.71 g/cm3
- Raw formation energy: -247.5 meV/atom
- Excess energy over the best structure of this formula in the dataset: 60 meV per atom

a b c (Å): 5.132 9.697 3.318
angles (deg): 90.00 90.00 90.00
Space group Cmmm (No. 65)
Asymmetric unit:
Mo 0.000 0.000 0.000 [2 per cell]
Se 0.000 0.192 0.500 [4 per cell]
Br 0.000 0.500 0.000 [2 per cell]

=====

The following is a DFT calculation (PBEsol) of a relaxed structure of TiAsPt2.

Values from the calculation:
- Density: 9.81 g/cm3
- DFT formation energy: -74 meV/atom

a b c (Å): 5.476 5.476 11.579
angles (deg): 90.00 90.00 90.00
Space group I-42d (No. 122)
Asymmetric unit:
Ti 0.000 0.000 0.000 [4 per cell]
As 0.000 0.000 0.500 [4 per cell]
Pt 0.236 0.250 0.625 [8 per cell]